1.
# NaPuPb2Cl8 PBE relaxed
# - raw formation energy (eV per atom) = -1.51
# - VASP energy (eV per atom) = -4.659
# - calculated volume (Å³ per atom) = 31.96
data_NaPuPb2Cl8
_space_group_name_H-M_alt 'P -1'
_space_group_IT_number 2
_cell_length_a 6.525
_cell_length_b 6.758
_cell_length_c 8.700
_cell_angle_alpha 89.67
_cell_angle_beta 89.63
_cell_angle_gamma 89.44
loop_
_space_group_symop_operation_xyz
'x,y,z'
'-x,-y,-z'
loop_
_atom_site_label
_atom_site_type_symbol
_atom_site_fract_x
_atom_site_fract_y
_atom_site_fract_z
Na1 Na 0.000 0.000 0.000
Pu1 Pu 0.000 0.000 0.500
Pb1 Pb 0.499 0.499 0.241
Cl1 Cl 0.219 0.840 0.261
Cl2 Cl 0.222 0.845 0.738
Cl3 Cl 0.251 0.322 0.503
Cl4 Cl 0.272 0.332 0.001

---

2.
# Ce2CdGe4Pt3 PBE relaxed
# - formation energy (kJ/mol of atoms) = -74.8
# - VASP energy (eV per atom) = -5.713
# - calculated volume (Å³ per atom) = 19.88
data_Ce2CdGe4Pt3
_space_group_name_H-M_alt 'P -4 m 2'
_space_group_IT_number 115
_cell_length_a 4.343
_cell_length_b 4.343
_cell_length_c 10.541
_cell_angle_alpha 90.00
_cell_angle_beta 90.00
_cell_angle_gamma 90.00
loop_
_space_group_symop_operation_xyz
'x,y,z'
'y,-x,-z'
'-x,-y,z'
'-y,x,-z'
'-x,y,z'
'-y,-x,-z'
'x,-y,z'
'y,x,-z'
loop_
_atom_site_label
_atom_site_type_symbol
_atom_site_fract_x
_atom_site_fract_y
_atom_site_fract_z
Ce1 Ce 0.000 0.500 0.242
Cd1 Cd 0.000 0.000 0.500
Ge1 Ge 0.000 0.000 0.000
Ge2 Ge 0.000 0.500 0.646
Ge3 Ge 0.500 0.500 0.000
Pt1 Pt 0.000 0.500 0.879
Pt2 Pt 0.500 0.500 0.500

---

3.
# CaDyHf PBE relaxed
# - formation energy (kJ/mol of atoms) = 19.8
# - VASP energy (eV per atom) = -5.313
# - calculated volume (Å³ per atom) = 30.36
data_CaDyHf
_space_group_name_H-M_alt 'R -3 m'
_space_group_IT_number 166
_space_group_name_Hall '-R 3 2"'
_cell_length_a 3.4514
_cell_length_b 3.4514
_cell_length_c 52.9746
_cell_angle_alpha 90.00
_cell_angle_beta 90.00
_cell_angle_gamma 120.00
loop_
_atom_site_label
_atom_site_type_symbol
_atom_site_fract_x
_atom_site_fract_y
_atom_site_fract_z
Ca1 Ca 0.0000 0.0000 0.1970
Dy1 Dy 0.0000 0.0000 0.2622
Hf1 Hf 0.0000 0.0000 0.3560

---

4.
# Ba3Pd8Pb PBE relaxed
# - formation energy (kJ/mol of atoms) = -45.2
# - VASP energy (eV per atom) = -4.720
# - calculated volume (Å³ per atom) = 21.61
data_Ba3Pd8Pb
_space_group_name_H-M_alt 'R 3 m'
_space_group_IT_number 160
_space_group_name_Hall 'R 3 -2"'
_cell_length_a 5.6881
_cell_length_b 5.6881
_cell_length_c 27.7681
_cell_angle_alpha 90.00
_cell_angle_beta 90.00
_cell_angle_gamma 120.00
loop_
_atom_site_label
_atom_site_type_symbol
_atom_site_fract_x
_atom_site_fract_y
_atom_site_fract_z
Ba1 Ba 0.0000 0.0000 0.0000
Ba2 Ba 0.0000 0.0000 0.1263
Ba3 Ba 0.0000 0.0000 0.6216
Pd1 Pd 0.0000 0.0000 0.3120
Pd2 Pd 0.0000 0.0000 0.8125
Pd3 Pd 0.0032 0.5016 0.0643
Pd4 Pd 0.1670 0.3340 0.8931
Pb1 Pb 0.0000 0.0000 0.4971

---

5.
# La9Nd4In11 PBE relaxed
# - formation energy (kJ/mol of atoms) = -42.0
# - VASP energy (eV per atom) = -4.333
# - calculated volume (Å³ per atom) = 30.59
data_La9Nd4In11
_space_group_name_H-M_alt 'C m m m'
_space_group_IT_number 65
_space_group_name_Hall '-C 2 2'
_cell_length_a 18.502
_cell_length_b 21.875
_cell_length_c 3.628
_cell_angle_alpha 90.00
_cell_angle_beta 90.00
_cell_angle_gamma 90.00
loop_
_atom_site_label
_atom_site_type_symbol
_atom_site_fract_x
_atom_site_fract_y
_atom_site_fract_z
La1 La 0.000 0.000 0.000
La2 La 0.116 0.241 0.000
La3 La 0.122 0.413 0.000
Nd1 Nd 0.152 0.087 0.000
In1 In 0.000 0.137 0.500
In2 In 0.000 0.332 0.500
In3 In 0.000 0.500 0.500
In4 In 0.239 0.500 0.500
In5 In 0.243 0.322 0.500

---

6.
# TbSm2Ho5Sc PBE relaxed
# - formation energy (kJ/mol of atoms) = 15.4
# - VASP energy (eV per atom) = -4.650
# - calculated volume (Å³ per atom) = 31.62
data_TbSm2Ho5Sc
_space_group_name_H-M_alt 'C m c 21'
_space_group_IT_number 36
_cell_length_a 5.538
_cell_length_b 19.841
_cell_length_c 10.360
_cell_angle_alpha 90.00
_cell_angle_beta 90.00
_cell_angle_gamma 90.00
loop_
_space_group_symop_operation_xyz
'x,y,z'
'-x,-y,z+1/2'
'-x,y,z'
'x,-y,z+1/2'
'x+1/2,y+1/2,z'
'-x+1/2,-y+1/2,z+1/2'
'-x+1/2,y+1/2,z'
'x+1/2,-y+1/2,z+1/2'
loop_
_atom_site_label
_atom_site_type_symbol
_atom_site_fract_x
_atom_site_fract_y
_atom_site_fract_z
Tb1 Tb 0.000 0.090 0.000
Sm1 Sm 0.000 0.385 0.278
Sm2 Sm 0.000 0.388 0.857
Ho1 Ho 0.000 0.018 0.283
Ho2 Ho 0.000 0.124 0.563
Ho3 Ho 0.000 0.201 0.246
Ho4 Ho 0.000 0.224 0.863
Ho5 Ho 0.000 0.483 0.560
Sc1 Sc 0.000 0.304 0.557

---

7.
# TmMgSe PBE relaxed
# - raw formation energy (eV per atom) = -0.88
# - VASP energy (eV per atom) = -4.063
# - calculated volume (Å³ per atom) = 26.02
data_TmMgSe
_space_group_name_H-M_alt 'R -3 m'
_space_group_IT_number 166
_space_group_name_Hall '-R 3 2"'
_cell_length_a 4.8634
_cell_length_b 4.8634
_cell_length_c 22.8675
_cell_angle_alpha 90.00
_cell_angle_beta 90.00
_cell_angle_gamma 120.00
loop_
_atom_site_label
_atom_site_type_symbol
_atom_site_fract_x
_atom_site_fract_y
_atom_site_fract_z
Tm1 Tm 0.0000 0.0000 0.0847
Mg1 Mg 0.0000 0.0000 0.3315
Se1 Se 0.0000 0.0000 0.2146

---

8.
# TbGdDyCd PBE relaxed
# - formation energy (kJ/mol of atoms) = 1.4
# - VASP energy (eV per atom) = -6.043
# - calculated volume (Å³ per atom) = 28.81
data_TbGdDyCd
_space_group_name_H-M_alt 'F -4 3 m'
_space_group_IT_number 216
_space_group_name_Hall 'F -4 2 3'
_cell_length_a 7.725
_cell_length_b 7.725
_cell_length_c 7.725
_cell_angle_alpha 90.00
_cell_angle_beta 90.00
_cell_angle_gamma 90.00
loop_
_atom_site_label
_atom_site_type_symbol
_atom_site_fract_x
_atom_site_fract_y
_atom_site_fract_z
Tb1 Tb 0.000 0.000 0.000
Gd1 Gd 0.000 0.000 0.500
Dy1 Dy 0.250 0.250 0.750
Cd1 Cd 0.250 0.250 0.250